(1)
! Al2CrPb PBE optimized geometry; values from VASP
&SYSTEM
  ibrav = 0, nat = 4, ntyp = 3
/
ATOMIC_SPECIES
Pb 207.20 Pb.upf
Cr 52.00 Cr.upf
Al 26.98 Al.upf
ATOMIC_POSITIONS angstrom
Pb 1.4373 -3.1897 8.1878
Cr 0.9582 -2.1265 5.4585
Al 0.0000 0.0000 0.0000
Al 0.4791 -1.0632 2.7293
CELL_PARAMETERS angstrom
-0.8010 -3.7280 2.9917
3.3995 -1.3186 3.1930
-0.6821 0.7937 4.7323
! space group	F-43m (216)



(2)
! KZr3Ru PBE optimized geometry; values from VASP
&SYSTEM
  ibrav = 0, nat = 5, ntyp = 3
/
ATOMIC_SPECIES
Ru 101.07 Ru.upf
K 39.10 K.upf
Zr 91.22 Zr.upf
ATOMIC_POSITIONS angstrom
Ru 2.3803 2.3803 2.3803
K 0.0000 0.0000 0.0000
Zr 0.0000 2.3803 0.0000
Zr 0.0000 0.0000 2.3803
Zr 2.3803 0.0000 0.0000
CELL_PARAMETERS angstrom
4.7606 0.0000 0.0000
0.0000 4.7606 0.0000
0.0000 0.0000 4.7606
! energy relative to the lowest polymorph listed for this composition	8.370	eV/f.u.
! space group	Pm-3m (221)



(3)
! La3Mn PBE optimized geometry; values from VASP
&SYSTEM
  ibrav = 0, nat = 4, ntyp = 2
/
ATOMIC_SPECIES
La 138.91 La.upf
Mn 54.94 Mn.upf
ATOMIC_POSITIONS angstrom
La 2.8406 5.6817 0.0218
La 0.0000 3.3560 0.8392
La 2.8406 1.0304 1.6566
Mn 2.8406 3.9875 2.6359
CELL_PARAMETERS angstrom
5.6812 0.0000 0.0000
-2.8406 6.0806 -0.1184
0.0000 1.2630 3.5935
! space group	Immm (71)



Number 1: raw total energy -4.728 eV per atom, ΔE_f 184 kJ/mol of formula units. Number 2: raw total energy -5.044 eV per atom, ΔE_f 1042 kJ/mol of formula units. Number 3: raw total energy -5.788 eV per atom, ΔE_f 77 kJ/mol of formula units.